No. 1
Material: CsNiAgSe3
Method: DFT, PBE
State: relaxed

Geometry as CIF:
```
data_CsNiAgSe3
_space_group_name_H-M_alt 'C m c m'
_space_group_IT_number 63
_space_group_name_Hall '-C 2c 2'
_cell_length_a 3.722
_cell_length_b 16.214
_cell_length_c 10.497
_cell_angle_alpha 90.00
_cell_angle_beta 90.00
_cell_angle_gamma 90.00
loop_
_atom_site_label
_atom_site_type_symbol
_atom_site_fract_x
_atom_site_fract_y
_atom_site_fract_z
Cs1 Cs 0.000 0.250 0.250
Ni1 Ni 0.000 0.000 0.000
Ag1 Ag 0.000 0.443 0.750
Se1 Se 0.000 0.059 0.750
Se2 Se 0.000 0.403 0.513
```

Volume (A^3/atom): 26.40
Energy (eV per atom): -3.576



No. 2
Material: PrErGa2Br2
Method: DFT, PBE
State: relaxed

Geometry as CIF:
```
data_PrErGa2Br2
_space_group_name_H-M_alt 'P 3 m 1'
_space_group_IT_number 156
_cell_length_a 4.1900
_cell_length_b 4.1900
_cell_length_c 11.4109
_cell_angle_alpha 90.00
_cell_angle_beta 90.00
_cell_angle_gamma 120.00
loop_
_space_group_symop_operation_xyz
'x,y,z'
'-y,x-y,z'
'-x+y,-x,z'
'-y,-x,z'
'-x+y,y,z'
'x,x-y,z'
loop_
_atom_site_label
_atom_site_type_symbol
_atom_site_fract_x
_atom_site_fract_y
_atom_site_fract_z
Pr1 Pr 0.0000 0.0000 0.0000
Er1 Er 0.0000 0.0000 0.3642
Ga1 Ga 0.3333 0.6667 0.2175
Ga2 Ga 0.6667 0.3333 0.1596
Br1 Br 0.3333 0.6667 0.8354
Br2 Br 0.6667 0.3333 0.5151
```

Volume (A^3/atom): 28.92
Energy (eV per atom): -4.342



No. 3
Material: SmDy2Tl3
Method: DFT, PBE
State: relaxed

Geometry as CIF:
```
data_SmDy2Tl3
_space_group_name_H-M_alt 'P 4/m m m'
_space_group_IT_number 123
_space_group_name_Hall '-P 4 2'
_cell_length_a 3.685
_cell_length_b 3.685
_cell_length_c 12.144
_cell_angle_alpha 90.00
_cell_angle_beta 90.00
_cell_angle_gamma 90.00
loop_
_atom_site_label
_atom_site_type_symbol
_atom_site_fract_x
_atom_site_fract_y
_atom_site_fract_z
Sm1 Sm 0.000 0.000 0.000
Dy1 Dy 0.000 0.000 0.336
Tl1 Tl 0.500 0.500 0.172
Tl2 Tl 0.500 0.500 0.500
```

Volume (A^3/atom): 27.49
Energy (eV per atom): -3.851



No. 4
Material: Mg3Au
Method: DFT, PBE
State: relaxed

Geometry as CIF:
```
data_Mg3Au
_space_group_name_H-M_alt 'C m c m'
_space_group_IT_number 63
_space_group_name_Hall '-C 2c 2'
_cell_length_a 6.056
_cell_length_b 10.466
_cell_length_c 4.822
_cell_angle_alpha 90.00
_cell_angle_beta 90.00
_cell_angle_gamma 90.00
loop_
_atom_site_label
_atom_site_type_symbol
_atom_site_fract_x
_atom_site_fract_y
_atom_site_fract_z
Mg1 Mg 0.000 0.171 0.250
Mg2 Mg 0.242 0.414 0.250
Au1 Au 0.000 0.334 0.750
```

Energy above the most stable polymorph in this dataset (meV per atom): 0
Volume (A^3/atom): 19.10
Energy (eV per atom): -2.344